## Pm3Ga4Pt2 (PBE-GGA)

Data for a relaxed structure of Pm3Ga4Pt2.

Geometry as POSCAR:
```
Pm3Ga4Pt2
1.0
5.476 -2.208 0.000
5.476 2.208 0.000
-3.210 0.000 8.015
Pm Ga Pt
3 4 2
direct
0.000 0.000 0.000 Pm
0.321 0.321 0.356 Pm
0.679 0.679 0.644 Pm
0.020 0.020 0.358 Ga
0.256 0.256 0.916 Ga
0.744 0.744 0.084 Ga
0.980 0.980 0.642 Ga
0.398 0.398 0.730 Pt
0.602 0.602 0.270 Pt
```

E_form ... -919 meV/atom
DOS at the Fermi energy ... 3.3 states/eV/f.u.
SG ... C2/m (12)
Magnetic moment ... 0.0 μB per formula unit